Record 1
First-principles (GGA-PBE) data for La2HfBr after structural relaxation, as listed in Alexandria via LeMat-Bulk.

## Properties
D(E_F) ... 1.64 states/eV/atom
Volume ... 474.5 Å³ per cell
E_form (uncorrected) ... 0.121 eV/atom
Relative energy among the computed polymorphs ... 290 meV/atom
Uncorrected energy ... -83.988 eV for the cell shown
Theoretical density ... 7.51 Mg/m³

Geometry as CIF:
```
data_La2HfBr
_chemical_formula_sum 'La8 Hf4 Br4'
_space_group_name_H-M_alt 'F m -3 m'
_space_group_IT_number 225
_space_group_name_Hall '-F 4 2 3'
_cell_length_a 7.800
_cell_length_b 7.800
_cell_length_c 7.800
_cell_angle_alpha 90.00
_cell_angle_beta 90.00
_cell_angle_gamma 90.00
loop_
_atom_site_label
_atom_site_type_symbol
_atom_site_fract_x
_atom_site_fract_y
_atom_site_fract_z
La1 La 0.250 0.250 0.250
Hf1 Hf 0.000 0.000 0.000
Br1 Br 0.000 0.000 0.500
```

=====

Record 2
First-principles (GGA-PBE) data for Tb3Pr2Y4 after structural relaxation, as listed in Alexandria via LeMat-Bulk.

## Properties
D(E_F) ... 1.49 states/eV/atom
Volume ... 1185.5 Å³ per cell
Relative energy among the computed polymorphs ... 23 meV/atom
DFT formation energy ... 0.092 eV per atom
Uncorrected energy ... -193.901 eV for the cell shown
Theoretical density ... 6.24 Mg/m³

Geometry as CIF:
```
data_Tb3Pr2Y4
_chemical_formula_sum 'Tb12 Pr8 Y16'
_space_group_name_H-M_alt 'C 1 2/c 1'
_space_group_IT_number 15
_space_group_name_Hall '-C 2yc'
_cell_length_a 16.770
_cell_length_b 11.720
_cell_length_c 6.075
_cell_angle_alpha 90.00
_cell_angle_beta 96.90
_cell_angle_gamma 90.00
loop_
_atom_site_label
_atom_site_type_symbol
_atom_site_fract_x
_atom_site_fract_y
_atom_site_fract_z
Tb1 Tb 0.000 0.148 0.250
Tb2 Tb 0.165 0.348 0.087
Pr1 Pr 0.105 0.117 0.781
Y1 Y 0.062 0.392 0.543
Y2 Y 0.232 0.108 0.372
```

=====

Record 3
First-principles (GGA-PBE) data for LaScP2 after structural relaxation, as listed in Alexandria via LeMat-Bulk.

## Properties
D(E_F) ... 0.17 states/eV/atom
Volume ... 94.3 Å³ per cell
Relative energy among the computed polymorphs ... 120 meV/atom
DFT formation energy ... -1.356 eV per atom
Uncorrected energy ... -27.503 eV for the cell shown
Theoretical density ... 4.33 Mg/m³

Geometry as CIF:
```
data_LaScP2
_chemical_formula_sum 'La1 Sc1 P2'
_space_group_name_H-M_alt 'P 4 m m'
_space_group_IT_number 99
_space_group_name_Hall 'P 4 -2'
_cell_length_a 4.067
_cell_length_b 4.067
_cell_length_c 5.698
_cell_angle_alpha 90.00
_cell_angle_beta 90.00
_cell_angle_gamma 90.00
loop_
_atom_site_label
_atom_site_type_symbol
_atom_site_fract_x
_atom_site_fract_y
_atom_site_fract_z
La1 La 0.000 0.000 0.000
Sc1 Sc 0.500 0.500 0.499
P1 P 0.000 0.000 0.500
P2 P 0.500 0.500 0.002
```

=====

Record 4
First-principles (GGA-PBE) data for ThUTcOs after structural relaxation, as listed in Alexandria via LeMat-Bulk.

## Properties
D(E_F) ... 1.84 states/eV/atom
Volume ... 336.0 Å³ per cell
Relative energy among the computed polymorphs ... 214 meV/atom
DFT formation energy ... 0.045 eV per atom
Uncorrected energy ... -160.500 eV for the cell shown
Theoretical density ... 14.99 Mg/m³

Geometry as CIF:
```
data_ThUTcOs
_chemical_formula_sum 'Th4 U4 Tc4 Os4'
_space_group_name_H-M_alt 'F -4 3 m'
_space_group_IT_number 216
_space_group_name_Hall 'F -4 2 3'
_cell_length_a 6.952
_cell_length_b 6.952
_cell_length_c 6.952
_cell_angle_alpha 90.00
_cell_angle_beta 90.00
_cell_angle_gamma 90.00
loop_
_atom_site_label
_atom_site_type_symbol
_atom_site_fract_x
_atom_site_fract_y
_atom_site_fract_z
Th1 Th 0.000 0.000 0.000
U1 U 0.000 0.000 0.500
Tc1 Tc 0.250 0.250 0.750
Os1 Os 0.250 0.250 0.250
```

=====

Record 5
First-principles (GGA-PBE) data for TmPuI6 after structural relaxation, as listed in Alexandria via LeMat-Bulk.

## Properties
D(E_F) ... 1.17 states/eV/atom
Volume ... 854.1 Å³ per cell
E_form (uncorrected) ... -1.203 eV/atom
Relative energy among the computed polymorphs ... 0 meV/atom
Uncorrected energy ... -75.462 eV for the cell shown
Theoretical density ... 4.57 Mg/m³

Geometry as CIF:
```
data_TmPuI6
_chemical_formula_sum 'Tm2 Pu2 I12'
_space_group_name_H-M_alt 'C 1 2/m 1'
_space_group_IT_number 12
_space_group_name_Hall '-C 2y'
_cell_length_a 8.047
_cell_length_b 13.777
_cell_length_c 7.716
_cell_angle_alpha 90.00
_cell_angle_beta 93.15
_cell_angle_gamma 90.00
loop_
_atom_site_label
_atom_site_type_symbol
_atom_site_fract_x
_atom_site_fract_y
_atom_site_fract_z
Tm1 Tm 0.000 0.000 0.000
Pu1 Pu 0.000 0.000 0.500
I1 I 0.148 0.150 0.248
I2 I 0.204 0.500 0.222
```

=====

Record 6
First-principles (GGA-PBE) data for Ti5Ga4Tc after structural relaxation, as listed in Alexandria via LeMat-Bulk.

## Properties
D(E_F) ... 0.85 states/eV/atom
Volume ... 156.2 Å³ per cell
DFT formation energy ... -0.425 eV per atom
Uncorrected energy ... -66.194 eV for the cell shown
Theoretical density ... 6.55 Mg/m³

Geometry as CIF:
```
data_Ti5Ga4Tc
_chemical_formula_sum 'Ti5 Ga4 Tc1'
_space_group_name_H-M_alt 'P 4/m m m'
_space_group_IT_number 123
_space_group_name_Hall '-P 4 2'
_cell_length_a 3.287
_cell_length_b 3.287
_cell_length_c 14.454
_cell_angle_alpha 90.00
_cell_angle_beta 90.00
_cell_angle_gamma 90.00
loop_
_atom_site_label
_atom_site_type_symbol
_atom_site_fract_x
_atom_site_fract_y
_atom_site_fract_z
Ti1 Ti 0.000 0.000 0.000
Ti2 Ti 0.000 0.000 0.197
Ti3 Ti 0.000 0.000 0.401
Ga1 Ga 0.500 0.500 0.097
Ga2 Ga 0.500 0.500 0.302
Tc1 Tc 0.500 0.500 0.500
```

=====

Q: Number 5 is which compound?
A: TmPuI6